RbSc2F: relaxed, PBE.

abc: 7.677 7.677 7.677
angles: 90.00 90.00 90.00
Space group Fm-3m (No. 225)
Inequivalent atoms, fractional coordinates:
Rb (0.000, 0.000, 0.000) [4 per cell]
Sc (0.250, 0.250, 0.250) [8 per cell]
F (0.000, 0.000, 0.500) [4 per cell]

- ΔE to the lowest computed polymorph: 1156 meV per atom
- DFT total energy: -13.738 eV per formula unit
- Crystal system: cubic
- Magnetic moment: 0.850 μB/atom


RbScF4: relaxed, PBE.

abc: 4.141 13.259 8.071
angles: 90.00 90.00 90.00
Space group Cmcm (No. 63)
Inequivalent atoms, fractional coordinates:
Rb (0.000, 0.232, 0.250) [4 per cell]
Sc (0.000, 0.500, 0.000) [4 per cell]
F (0.000, 0.000, 0.000) [4 per cell]
F (0.000, 0.353, 0.549) [8 per cell]
F (0.000, 0.466, 0.250) [4 per cell]

- ΔE to the lowest computed polymorph: 0 meV per atom
- DFT total energy: -36.584 eV per formula unit
- Crystal system: orthorhombic
- Magnetic moment: 0.001 μB/atom